w | # K2AlSi PBEsol relaxed
# Spin magnetization in μB per cell: 0.00
# Calculated density in g/cm3: 1.69
data_K2AlSi
_cell_length_a 3.623
_cell_length_b 3.623
_cell_length_c 9.968
_cell_angle_alpha 90.00
_cell_angle_beta 90.00
_cell_angle_gamma 90.00
_symmetry_space_group_name_H-M 'P 4 m m'
_symmetry_Int_Tables_number 99
loop_
_symmetry_equiv_pos_as_xyz
'x,y,z'
'-y,x,z'
'-x,-y,z'
'y,-x,z'
'-x,y,z'
'y,x,z'
'x,-y,z'
'-y,-x,z'
loop_
_atom_site_label
_atom_site_type_symbol
_atom_site_fract_x
_atom_site_fract_y
_atom_site_fract_z
K1 K 0.000 0.000 0.000
K2 K 0.500 0.500 0.409
Al1 Al 0.500 0.500 0.735
Si1 Si 0.000 0.000 0.665

x | # K2AlSi PBEsol relaxed
# Spin magnetization in μB per cell: 0.00
# Calculated density in g/cm3: 2.03
data_K2AlSi
_cell_length_a 4.302
_cell_length_b 4.302
_cell_length_c 23.568
_cell_angle_alpha 90.00
_cell_angle_beta 90.00
_cell_angle_gamma 90.00
_symmetry_space_group_name_H-M 'I -4 2 d'
_symmetry_Int_Tables_number 122
_symmetry_space_group_name_Hall 'I -4 2bw'
loop_
_atom_site_label
_atom_site_type_symbol
_atom_site_fract_x
_atom_site_fract_y
_atom_site_fract_z
K1 K 0.245 0.250 0.125
Al1 Al 0.000 0.000 0.500
Si1 Si 0.000 0.000 0.000

On energetic grounds, w is preferred over the next structure by 0.433 eV/atom.

w | # K2AlSi PBEsol relaxed
# Spin magnetization in μB per cell: 0.00
# Calculated density in g/cm3: 1.89
data_K2AlSi
_cell_length_a 6.367
_cell_length_b 6.367
_cell_length_c 2.891
_cell_angle_alpha 90.00
_cell_angle_beta 90.00
_cell_angle_gamma 90.00
_symmetry_space_group_name_H-M 'P 4/m m m'
_symmetry_Int_Tables_number 123
_symmetry_space_group_name_Hall '-P 4 2'
loop_
_atom_site_label
_atom_site_type_symbol
_atom_site_fract_x
_atom_site_fract_y
_atom_site_fract_z
K1 K 0.000 0.500 0.000
Al1 Al 0.000 0.000 0.500
Si1 Si 0.500 0.500 0.500

x | # K2AlSi PBEsol relaxed
# Spin magnetization in μB per cell: 0.00
# Calculated density in g/cm3: 2.05
data_K2AlSi
_cell_length_a 5.748
_cell_length_b 10.852
_cell_length_c 3.456
_cell_angle_alpha 90.00
_cell_angle_beta 90.00
_cell_angle_gamma 90.00
_symmetry_space_group_name_H-M 'C m m m'
_symmetry_Int_Tables_number 65
_symmetry_space_group_name_Hall '-C 2 2'
loop_
_atom_site_label
_atom_site_type_symbol
_atom_site_fract_x
_atom_site_fract_y
_atom_site_fract_z
K1 K 0.250 0.250 0.000
Al1 Al 0.000 0.000 0.500
Si1 Si 0.000 0.500 0.500

y | # K2AlSi PBEsol relaxed
# Spin magnetization in μB per cell: 0.00
# Calculated density in g/cm3: 1.77
data_K2AlSi
_cell_length_a 11.801
_cell_length_b 4.204
_cell_length_c 5.785
_cell_angle_alpha 90.00
_cell_angle_beta 119.16
_cell_angle_gamma 90.00
_symmetry_space_group_name_H-M 'C 1 m 1'
_symmetry_Int_Tables_number 8
loop_
_symmetry_equiv_pos_as_xyz
'x,y,z'
'x,-y,z'
'x+1/2,y+1/2,z'
'x+1/2,-y+1/2,z'
loop_
_atom_site_label
_atom_site_type_symbol
_atom_site_fract_x
_atom_site_fract_y
_atom_site_fract_z
K1 K 0.000 0.000 0.000
K2 K 0.181 0.000 0.679
Al1 Al 0.389 0.000 0.381
Si1 Si 0.275 0.500 0.282

On energetic grounds, y is preferred over the next structure by 0.386 eV/atom.

w | # K2AlSi PBEsol relaxed
# Spin magnetization in μB per cell: 0.00
# Calculated density in g/cm3: 2.10
data_K2AlSi
_cell_length_a 7.501
_cell_length_b 7.501
_cell_length_c 7.501
_cell_angle_alpha 90.00
_cell_angle_beta 90.00
_cell_angle_gamma 90.00
_symmetry_space_group_name_H-M 'F -4 3 m'
_symmetry_Int_Tables_number 216
_symmetry_space_group_name_Hall 'F -4 2 3'
loop_
_atom_site_label
_atom_site_type_symbol
_atom_site_fract_x
_atom_site_fract_y
_atom_site_fract_z
K1 K 0.000 0.000 0.000
K2 K 0.250 0.250 0.250
Al1 Al 0.000 0.000 0.500
Si1 Si 0.250 0.250 0.750

x | # K2AlSi PBEsol relaxed
# Spin magnetization in μB per cell: 0.01
# Calculated density in g/cm3: 1.50
data_K2AlSi
_cell_length_a 4.2525
_cell_length_b 4.2525
_cell_length_c 28.2459
_cell_angle_alpha 90.00
_cell_angle_beta 90.00
_cell_angle_gamma 120.00
_symmetry_space_group_name_H-M 'R 3 m'
_symmetry_Int_Tables_number 160
_symmetry_space_group_name_Hall 'R 3 -2"'
loop_
_atom_site_label
_atom_site_type_symbol
_atom_site_fract_x
_atom_site_fract_y
_atom_site_fract_z
K1 K 0.0000 0.0000 0.0000
K2 K 0.0000 0.0000 0.1847
Al1 Al 0.0000 0.0000 0.4257
Si1 Si 0.0000 0.0000 0.7591

On energetic grounds, x is preferred over the next structure by 0.413 eV/atom.

w | # K2AlTe PBEsol relaxed
# Spin magnetization in μB per cell: 0.00
# Calculated density in g/cm3: 2.89
data_K2AlTe
_cell_length_a 3.7225
_cell_length_b 3.7225
_cell_length_c 33.4857
_cell_angle_alpha 90.00
_cell_angle_beta 90.00
_cell_angle_gamma 120.00
_symmetry_space_group_name_H-M 'R -3 m'
_symmetry_Int_Tables_number 166
_symmetry_space_group_name_Hall '-R 3 2"'
loop_
_atom_site_label
_atom_site_type_symbol
_atom_site_fract_x
_atom_site_fract_y
_atom_site_fract_z
K1 K 0.0000 0.0000 0.2450
Al1 Al 0.0000 0.0000 0.0000
Te1 Te 0.0000 0.0000 0.5000

x | # K2AlTe PBEsol relaxed
# Spin magnetization in μB per cell: 3.48
# Calculated density in g/cm3: 2.62
data_K2AlTe
_cell_length_a 5.054
_cell_length_b 5.054
_cell_length_c 23.104
_cell_angle_alpha 90.00
_cell_angle_beta 90.00
_cell_angle_gamma 90.00
_symmetry_space_group_name_H-M 'I -4 2 d'
_symmetry_Int_Tables_number 122
_symmetry_space_group_name_Hall 'I -4 2bw'
loop_
_atom_site_label
_atom_site_type_symbol
_atom_site_fract_x
_atom_site_fract_y
_atom_site_fract_z
K1 K 0.236 0.250 0.125
Al1 Al 0.000 0.000 0.500
Te1 Te 0.000 0.000 0.000

On energetic grounds, x is preferred over the next structure by 0.028 eV/atom.